Record 1
# CaFeNi2, relaxed, DFT PBEsol
data_CaFeNi2
_chemical_formula_sum 'Ca1 Fe1 Ni2'
_space_group_name_H-M_alt 'P 4 m m'
_space_group_IT_number 99
_space_group_name_Hall 'P 4 -2'
_cell_length_a 3.031
_cell_length_b 3.031
_cell_length_c 6.442
_cell_angle_alpha 90.00
_cell_angle_beta 90.00
_cell_angle_gamma 90.00
loop_
_atom_site_label
_atom_site_type_symbol
_atom_site_fract_x
_atom_site_fract_y
_atom_site_fract_z
_atom_site_occupancy
Ca1 Ca 0.000 0.000 0.000 1
Fe1 Fe 0.500 0.500 0.344 1
Ni1 Ni 0.000 0.000 0.502 1
Ni2 Ni 0.500 0.500 0.703 1
# calculated formation energy = 0.29 eV/atom

Record 2
Material: CaReIO2
Method: DFT, PBEsol
State: relaxed

Cell and atoms, written as CIF:
```
data_CaReIO2
_chemical_formula_sum 'Ca1 Re1 I1 O2'
_space_group_name_H-M_alt 'P 4/m m m'
_space_group_IT_number 123
_space_group_name_Hall '-P 4 2'
_cell_length_a 4.236
_cell_length_b 4.236
_cell_length_c 6.036
_cell_angle_alpha 90.00
_cell_angle_beta 90.00
_cell_angle_gamma 90.00
loop_
_atom_site_label
_atom_site_type_symbol
_atom_site_fract_x
_atom_site_fract_y
_atom_site_fract_z
_atom_site_occupancy
Ca1 Ca 0.000 0.000 0.000 1
Re1 Re 0.500 0.500 0.500 1
I1 I 0.000 0.000 0.500 1
O1 O 0.000 0.500 0.000 1
```

Number 1: E_tot -0.4089 Ry per atom. Number 2: E_tot -0.3679 Ry per atom.